1.
{
  "formula": "ScTc2PtS",
  "functional": "PBE-GGA",
  "state": "relaxed",
  "raw_formation_energy_ev_per_atom": 0.0001,
  "energy_ev_per_atom": -7.446,
  "m_tot_mub_per_cell": 0.0,
  "crystal_system": "tetragonal",
  "sg": "P4/mmm",
  "volume_a3_per_cell": 86.9,
  "lattice": [[4.314, 0.000, 0.000], [0.000, 4.314, 0.000], [0.000, 0.000, 4.668]],
  "species": ["Sc", "Tc", "Tc", "Pt", "S"],
  "fractional_positions": [[0.000, 0.000, 0.000], [0.000, 0.500, 0.500], [0.500, 0.000, 0.500], [0.500, 0.500, 0.000], [0.000, 0.000, 0.500]]
}

***

2.
{
  "formula": "ScVPtS2",
  "functional": "PBE-GGA",
  "state": "relaxed",
  "raw_formation_energy_ev_per_atom": 0.3481,
  "energy_ev_per_atom": -5.601,
  "m_tot_mub_per_cell": 0.1,
  "crystal_system": "tetragonal",
  "sg": "P4/mmm",
  "volume_a3_per_cell": 110.9,
  "lattice": [[4.764, 0.000, 0.000], [0.000, 4.764, 0.000], [0.000, 0.000, 4.885]],
  "species": ["Sc", "V", "Pt", "S", "S"],
  "fractional_positions": [[0.000, 0.000, 0.000], [0.500, 0.500, 0.500], [0.000, 0.000, 0.500], [0.000, 0.500, 0.000], [0.500, 0.000, 0.000]]
}

***

3.
{
  "formula": "YSc2PtS",
  "functional": "PBE-GGA",
  "state": "relaxed",
  "raw_formation_energy_ev_per_atom": -0.6334,
  "energy_ev_per_atom": -6.492,
  "m_tot_mub_per_cell": 0.0,
  "crystal_system": "tetragonal",
  "sg": "P4/mmm",
  "volume_a3_per_cell": 110.6,
  "lattice": [[4.804, 0.000, 0.000], [0.000, 4.804, 0.000], [0.000, 0.000, 4.793]],
  "species": ["Y", "Sc", "Sc", "Pt", "S"],
  "fractional_positions": [[0.000, 0.000, 0.000], [0.000, 0.500, 0.500], [0.500, 0.000, 0.500], [0.500, 0.500, 0.000], [0.500, 0.500, 0.500]]
}

***

4.
{
  "formula": "Pt2SeS",
  "functional": "PBE-GGA",
  "state": "relaxed",
  "raw_formation_energy_ev_per_atom": 0.3240,
  "energy_ev_per_atom": -4.599,
  "relative_energy_mev_per_atom": 362,
  "m_tot_mub_per_cell": 0.0,
  "crystal_system": "cubic",
  "sg": "Fm-3m",
  "volume_a3_per_cell": 259.4,
  "lattice": [[6.378, 0.000, 0.000], [0.000, 6.378, 0.000], [0.000, 0.000, 6.378]],
  "species": ["Pt", "Pt", "Pt", "Pt", "Pt", "Pt", "Pt", "Pt", "Se", "Se", "Se", "Se", "S", "S", "S", "S"],
  "fractional_positions": [[0.250, 0.250, 0.250], [0.250, 0.250, 0.750], [0.250, 0.750, 0.250], [0.250, 0.750, 0.750], [0.750, 0.250, 0.250], [0.750, 0.250, 0.750], [0.750, 0.750, 0.250], [0.750, 0.750, 0.750], [0.000, 0.000, 0.000], [0.000, 0.500, 0.500], [0.500, 0.000, 0.500], [0.500, 0.500, 0.000], [0.000, 0.000, 0.500], [0.000, 0.500, 0.000], [0.500, 0.000, 0.000], [0.500, 0.500, 0.500]]
}

***

5.
{
  "formula": "PtSeS2",
  "functional": "PBE-GGA",
  "state": "relaxed",
  "raw_formation_energy_ev_per_atom": 0.2252,
  "energy_ev_per_atom": -4.220,
  "m_tot_mub_per_cell": 0.0,
  "crystal_system": "tetragonal",
  "sg": "I-42d",
  "volume_a3_per_cell": 316.4,
  "lattice": [[6.526, 0.000, 0.000], [0.000, 6.526, 0.000], [0.000, 0.000, 7.429]],
  "species": ["Pt", "Pt", "Pt", "Pt", "Se", "Se", "Se", "Se", "S", "S", "S", "S", "S", "S", "S", "S"],
  "fractional_positions": [[0.000, 0.000, 0.000], [0.000, 0.500, 0.250], [0.500, 0.000, 0.750], [0.500, 0.500, 0.500], [0.000, 0.000, 0.500], [0.000, 0.500, 0.750], [0.500, 0.000, 0.250], [0.500, 0.500, 0.000], [0.215, 0.250, 0.125], [0.250, 0.715, 0.375], [0.250, 0.785, 0.875], [0.285, 0.250, 0.625], [0.715, 0.750, 0.625], [0.750, 0.215, 0.875], [0.750, 0.285, 0.375], [0.785, 0.750, 0.125]]
}

***

6.
{
  "formula": "Pt2SeS",
  "functional": "PBE-GGA",
  "state": "relaxed",
  "raw_formation_energy_ev_per_atom": -0.0383,
  "energy_ev_per_atom": -4.962,
  "relative_energy_mev_per_atom": 0,
  "m_tot_mub_per_cell": 0.0,
  "crystal_system": "tetragonal",
  "sg": "I-42d",
  "volume_a3_per_cell": 322.4,
  "lattice": [[4.839, 0.000, 0.000], [0.000, 4.839, 0.000], [0.000, 0.000, 13.767]],
  "species": ["Pt", "Pt", "Pt", "Pt", "Pt", "Pt", "Pt", "Pt", "Se", "Se", "Se", "Se", "S", "S", "S", "S"],
  "fractional_positions": [[0.177, 0.250, 0.125], [0.250, 0.677, 0.375], [0.250, 0.823, 0.875], [0.323, 0.250, 0.625], [0.677, 0.750, 0.625], [0.750, 0.177, 0.875], [0.750, 0.323, 0.375], [0.823, 0.750, 0.125], [0.000, 0.000, 0.500], [0.000, 0.500, 0.750], [0.500, 0.000, 0.250], [0.500, 0.500, 0.000], [0.000, 0.000, 0.000], [0.000, 0.500, 0.250], [0.500, 0.000, 0.750], [0.500, 0.500, 0.500]]
}